Below is an optimized crystal structure of BaSr2Li, with properties calculated at the PBE level.

Lattice parameters (Å, degrees): 4.2465 4.2465 38.6500 90.00 90.00 120.00
Last column: nearest neighbours and their distance in Å.
Space group R-3m (No. 166, hexagonal axes)
Symmetry-distinct sites (fractional):
Ba 0.0000 0.0000 0.0000 (multiplicity 3)  6 Ba 4.25, 6 Sr 4.41
Sr 0.0000 0.0000 0.2386 (multiplicity 6)  3 Li 3.71
Li 0.0000 0.0000 0.5000 (multiplicity 3)  6 Sr 3.71

Computed properties:
- E_tot: -1.701 eV per atom
- E above lowest polymorph: 0.33 eV/f.u.

Below is an optimized crystal structure of Y3MgN, with properties calculated at the PBE level.

Lattice parameters (Å, degrees): 4.5099 4.5099 8.9196 90.00 90.00 90.00
Last column: nearest neighbours and their distance in Å.
Space group P4mm (No. 99)
Symmetry-distinct sites (fractional):
Y 0.0000 0.0000 0.0000 (multiplicity 1)  1 Mg 3.37, 4 Y 3.68
Y 0.0000 0.5000 0.6733 (multiplicity 2)  2 N 2.30
Mg 0.0000 0.0000 0.3775 (multiplicity 1)  5 Y 3.37-3.47
N 0.5000 0.5000 0.6243 (multiplicity 1)  4 Y 2.30

Computed properties:
- E_tot: -5.670 eV per atom
- E above lowest polymorph: 4.57 eV/f.u.
- Formation energy without anion corrections: 0.19 eV per atom

Below is an optimized crystal structure of Be5GaPd6, with properties calculated at the PBE level.

Lattice parameters (Å, degrees): 4.0733 5.8063 6.3549 90.00 105.89 90.00
Last column: nearest neighbours and their distance in Å.
Space group P2/m (No. 10)
Symmetry-distinct sites (fractional):
Be 0.0000 0.0000 0.0000 (multiplicity 1)  8 Pd 2.46-2.53
Be 0.3277 0.5000 0.6592 (multiplicity 2)  8 Pd 2.44-2.58
Be 0.3300 0.0000 0.6683 (multiplicity 2)  8 Pd 2.45-2.49
Ga 0.0000 0.5000 0.0000 (multiplicity 1)  8 Pd 2.54-2.56, 2 Be 2.84
Pd 0.1743 0.2450 0.3413 (multiplicity 4)  7 Be 2.44-2.53, 1 Ga 2.56
Pd 0.5000 0.2387 0.0000 (multiplicity 2)  6 Be 2.46-2.58, 2 Ga 2.54

Computed properties:
- E_tot: -4.952 eV per atom

Below is an optimized crystal structure of Hf3TaOs, with properties calculated at the PBE level.

Lattice parameters (Å, degrees): 4.9406 4.9406 4.9406 90.00 90.00 90.00
Last column: nearest neighbours and their distance in Å.
Space group Pm-3m (No. 221)
Symmetry-distinct sites (fractional):
Hf 0.0000 0.0000 0.5000 (multiplicity 3)  2 Ta 2.47
Ta 0.0000 0.0000 0.0000 (multiplicity 1)  6 Hf 2.47
Os 0.5000 0.5000 0.5000 (multiplicity 1)  12 Hf 3.49

Computed properties:
- E_tot: -8.977 eV per atom
- E above lowest polymorph: 4.22 eV/f.u.